Computed, not measured: a relaxed Li2YCdF crystal at the PBE level of DFT.

Cell and atoms, written as POSCAR:
```
Li2YCdF
1.0
4.370 0.000 0.000
0.000 4.370 0.000
0.000 0.000 4.865
Li Y Cd F
2 1 1 1
direct
0.000 0.500 0.000 Li
0.500 0.000 0.000 Li
0.000 0.000 0.500 Y
0.500 0.500 0.500 Cd
0.000 0.000 0.000 F
```

Total magnetization   0.03 μB per cell
E   -18.64 eV per formula unit
ρ   4.19 g/cm3
Crystal system   tetragonal


Computed, not measured: a relaxed LiY2CdF crystal at the PBE level of DFT.

Cell and atoms, written as POSCAR:
```
LiY2CdF
1.0
5.101 0.000 0.000
0.000 5.101 0.000
0.000 0.000 3.949
Li Y Cd F
1 2 1 1
direct
0.000 0.000 0.000 Li
0.000 0.500 0.500 Y
0.500 0.000 0.500 Y
0.500 0.500 0.000 Cd
0.000 0.000 0.500 F
```

Total magnetization   0.00 μB per cell
E   -23.27 eV per formula unit
ρ   5.11 g/cm3
Crystal system   tetragonal